# YErS | the Alexandria database | GGA-PBE | relaxed
data_YErS
_chemical_formula_sum 'Y1 Er1 S1'
_cell_length_a 3.7651
_cell_length_b 3.7651
_cell_length_c 6.2567
_cell_angle_alpha 90.00
_cell_angle_beta 90.00
_cell_angle_gamma 120.00
_space_group_name_H-M_alt 'P 3 m 1'
_space_group_IT_number 156
loop_
_space_group_symop_operation_xyz
'x,y,z'
'-y,x-y,z'
'-x+y,-x,z'
'-y,-x,z'
'-x+y,y,z'
'x,x-y,z'
loop_
_atom_site_label
_atom_site_fract_x
_atom_site_fract_y
_atom_site_fract_z
Y1 0.0000 0.0000 0.0000
Er1 0.3333 0.6667 0.5300
S1 0.6667 0.3333 0.2684
# calculated volume = 25.60 Å³ per atom
# E_form (uncorrected) = -29.7 kcal/mol of atoms
# polymorph energy (0 for the lowest one) = 0 meV per atom
# VASP energy = -19.0 eV/cell